Entry 1:
TcTe2SO (PBE-GGA, relaxed); space-group type = P4/mmm; formation energy without anion corrections = 76 kJ per mole of atoms; mass density = 7210 kg/m3; total magnetization = 0.00 μB/f.u.; calculated volume = 92.4 Å³ per cell
1.0
4.5591 0.0000 0.0000
0.0000 4.5591 0.0000
0.0000 0.0000 4.4460
Tc Te S O
1 2 1 1
direct
0.0000 0.0000 0.0000 Tc
0.0000 0.5000 0.5000 Te
0.5000 0.0000 0.5000 Te
0.5000 0.5000 0.0000 S
0.5000 0.5000 0.5000 O

***

Entry 2:
GdAl4Ge (PBE-GGA, relaxed); space-group type = F-43m; DFT formation energy = -0.148 eV per atom; mass density = 4777 kg/m3; total magnetization = 7.56 μB/f.u.; calculated volume = 117.4 Å³ per cell
1.0
0.0000 3.8866 3.8866
3.8866 0.0000 3.8866
3.8866 3.8866 0.0000
Gd Al Ge
1 4 1
direct
0.0000 0.0000 0.0000 Gd
0.1252 0.6249 0.6249 Al
0.6249 0.1252 0.6249 Al
0.6249 0.6249 0.1252 Al
0.6249 0.6249 0.6249 Al
0.2500 0.2500 0.2500 Ge

***

Entry 3:
Cs3SrPu2Cl9 (PBE-GGA, relaxed); space-group type = P-3m1; formation energy without anion corrections = -192 kJ per mole of atoms; mass density = 3945 kg/m3; total magnetization = 12.00 μB/f.u.; calculated volume = 544.5 Å³ per cell
1.0
8.0067 0.0000 0.0000
-4.0034 6.9340 0.0000
0.0000 0.0000 9.8069
Cs Sr Pu Cl
3 1 2 9
direct
0.0000 0.0000 0.0000 Cs
0.3333 0.6667 0.6676 Cs
0.6667 0.3333 0.3324 Cs
0.0000 0.0000 0.5000 Sr
0.3333 0.6667 0.1613 Pu
0.6667 0.3333 0.8387 Pu
0.0000 0.5000 0.0000 Cl
0.1680 0.3359 0.3304 Cl
0.1680 0.8320 0.3304 Cl
0.3359 0.1680 0.6696 Cl
0.5000 0.0000 0.0000 Cl
0.5000 0.5000 0.0000 Cl
0.6641 0.8320 0.3304 Cl
0.8320 0.1680 0.6696 Cl
0.8320 0.6641 0.6696 Cl

***

Entry 4:
Ac6SnP4 (PBE-GGA, relaxed); space-group type = Cmcm; DFT formation energy = -1.224 eV per atom; mass density = 7160 kg/m3; total magnetization = 0.86 μB/f.u.; calculated volume = 744.3 Å³ per cell
1.0
2.2373 -7.3087 0.0000
2.2373 7.3087 0.0000
0.0000 0.0000 22.7589
Ac Sn P
12 2 8
direct
0.0000 0.0000 0.0000 Ac
0.0000 0.0000 0.5000 Ac
0.1657 0.8343 0.7500 Ac
0.2739 0.7261 0.0816 Ac
0.2739 0.7261 0.4184 Ac
0.4566 0.5434 0.6585 Ac
0.4566 0.5434 0.8415 Ac
0.5434 0.4566 0.1585 Ac
0.5434 0.4566 0.3415 Ac
0.7261 0.2739 0.5816 Ac
0.7261 0.2739 0.9184 Ac
0.8343 0.1657 0.2500 Ac
0.1620 0.8380 0.2500 Sn
0.8380 0.1620 0.7500 Sn
0.0905 0.9095 0.6248 P
0.0905 0.9095 0.8752 P
0.3620 0.6380 0.5411 P
0.3620 0.6380 0.9589 P
0.6380 0.3620 0.0411 P
0.6380 0.3620 0.4589 P
0.9095 0.0905 0.1248 P
0.9095 0.0905 0.3752 P

***

Entry 5:
MgPtCl4 (PBE-GGA, relaxed); space-group type = F-43m; formation energy without anion corrections = 63 kJ per mole of atoms; mass density = 4589 kg/m3; total magnetization = 0.01 μB/f.u.; calculated volume = 130.7 Å³ per cell
1.0
0.0000 4.0279 4.0279
4.0279 0.0000 4.0279
4.0279 4.0279 0.0000
Mg Pt Cl
1 1 4
direct
0.0000 0.0000 0.0000 Mg
0.7500 0.7500 0.7500 Pt
0.3752 0.3752 0.3752 Cl
0.3752 0.3752 0.8745 Cl
0.3752 0.8745 0.3752 Cl
0.8745 0.3752 0.3752 Cl

***

Entry 6:
Y2Pd3Au2 (PBE-GGA, relaxed); space-group type = C2/m; DFT formation energy = -0.818 eV per atom; mass density = 10986 kg/m3; total magnetization = 0.00 μB/f.u.; calculated volume = 134.7 Å³ per cell
1.0
4.8210 -2.0391 0.0000
4.8210 2.0391 0.0000
-0.6931 0.0000 6.8500
Y Pd Au
2 3 2
direct
0.0819 0.0819 0.2402 Y
0.9181 0.9181 0.7598 Y
0.2096 0.2096 0.6352 Pd
0.5000 0.5000 0.5000 Pd
0.7904 0.7904 0.3648 Pd
0.3626 0.3626 0.0831 Au
0.6374 0.6374 0.9169 Au